## SrY2Au (PBE)

Data for a relaxed structure of SrY2Au.

Properties
Calculated volume (A^3/atom): 30.2
Magnetic moment (μB/f.u.): 0.00
Excess energy over the best structure of this formula in the dataset (eV per atom): 0.332
Calculated formation energy (eV/atom): -0.0117
Symmetry: No. 12

The structure in POSCAR format:
```
SrY2Au
1.0
3.280 -5.884 0.000
3.280 5.884 0.000
-1.788 0.000 3.129
Sr Y Au
1 2 1
Cartesian
0.000 0.000 0.000
0.746 2.942 1.565
0.746 -2.942 1.565
3.280 0.000 0.000
```



## SrY2Au (PBE)

Data for a relaxed structure of SrY2Au.

Properties
Calculated volume (A^3/atom): 33.9
Magnetic moment (μB/f.u.): 0.72
Excess energy over the best structure of this formula in the dataset (eV per atom): 0.153
Calculated formation energy (eV/atom): -0.1912
Symmetry: No. 122

The structure in POSCAR format:
```
SrY2Au
1.0
-4.505 4.505 3.336
4.505 -4.505 3.336
4.505 4.505 -3.336
Sr Y Au
2 4 2
Cartesian
0.000 0.000 0.000
0.000 4.505 1.668
2.252 -1.571 2.502
2.934 2.252 0.834
2.252 6.076 -0.834
1.571 2.252 4.170
4.505 0.000 1.668
0.000 0.000 3.336
```



## SrYAu (PBE)

Data for a relaxed structure of SrYAu.

Properties
Calculated volume (A^3/atom): 36.2
Magnetic moment (μB/f.u.): 0.00
Excess energy over the best structure of this formula in the dataset (eV per atom): 0.142
Calculated formation energy (eV/atom): -0.4031
Symmetry: No. 156

The structure in POSCAR format:
```
SrYAu
1.0
4.300 0.000 0.000
-2.150 3.723 0.000
0.000 0.000 6.793
Sr Y Au
1 1 1
Cartesian
0.000 0.000 0.000
2.150 1.241 3.371
0.000 2.482 4.783
```



## SrY2Au (PBE)

Data for a relaxed structure of SrY2Au.

Properties
Calculated volume (A^3/atom): 31.7
Magnetic moment (μB/f.u.): 0.00
Excess energy over the best structure of this formula in the dataset (eV per atom): 0.175
Calculated formation energy (eV/atom): -0.1691
Symmetry: No. 10

The structure in POSCAR format:
```
SrY2Au
1.0
4.010 0.000 0.000
0.000 4.830 0.000
-1.878 0.000 6.557
Sr Y Au
1 2 1
Cartesian
0.000 0.000 0.000
0.130 2.415 4.641
2.003 2.415 1.915
-0.939 0.000 3.278
```



## SrYAu (PBE)

Data for a relaxed structure of SrYAu.

Properties
Calculated volume (A^3/atom): 33.1
Magnetic moment (μB/f.u.): 0.00
Excess energy over the best structure of this formula in the dataset (eV per atom): 0.193
Calculated formation energy (eV/atom): -0.3520
Symmetry: No. 156

The structure in POSCAR format:
```
SrYAu
1.0
4.954 0.000 0.000
-2.477 4.291 0.000
0.000 0.000 4.674
Sr Y Au
1 1 1
Cartesian
0.000 0.000 0.000
2.477 1.430 2.325
0.000 2.860 2.604
```



## Sr2Y2Au (PBE)

Data for a relaxed structure of Sr2Y2Au.

Properties
Calculated volume (A^3/atom): 36.9
Magnetic moment (μB/f.u.): 1.56
Excess energy over the best structure of this formula in the dataset (eV per atom): 0.000
Calculated formation energy (eV/atom): -0.0776
Symmetry: No. 127

The structure in POSCAR format:
```
Sr2Y2Au
1.0
7.701 0.000 0.000
0.000 7.701 0.000
0.000 0.000 6.216
Sr Y Au
4 4 2
Cartesian
1.316 2.535 0.000
2.535 6.386 0.000
5.166 1.316 0.000
6.386 5.166 0.000
1.209 5.059 3.108
2.642 1.209 3.108
5.059 6.493 3.108
6.493 2.642 3.108
0.000 0.000 3.108
3.851 3.851 3.108
```



## SrY3Au (PBE)

Data for a relaxed structure of SrY3Au.

Properties
Calculated volume (A^3/atom): 36.5
Magnetic moment (μB/f.u.): 0.00
Excess energy over the best structure of this formula in the dataset (eV per atom): 0.000
Calculated formation energy (eV/atom): -0.1336
Symmetry: No. 221

The structure in POSCAR format:
```
SrY3Au
1.0
5.675 0.000 0.000
0.000 5.675 0.000
0.000 0.000 5.675
Sr Y Au
1 3 1
Cartesian
0.000 0.000 0.000
0.000 2.837 2.837
2.837 0.000 2.837
2.837 2.837 0.000
2.837 2.837 2.837
```



## SrYAu2 (PBE)

Data for a relaxed structure of SrYAu2.

Properties
Calculated volume (A^3/atom): 30.8
Magnetic moment (μB/f.u.): 0.00
Excess energy over the best structure of this formula in the dataset (eV per atom): 0.338
Calculated formation energy (eV/atom): -0.4576
Symmetry: No. 122

The structure in POSCAR format:
```
SrYAu2
1.0
-3.982 3.982 3.880
3.982 -3.982 3.880
3.982 3.982 -3.880
Sr Y Au
2 2 4
Cartesian
0.000 0.000 0.000
0.000 3.982 1.940
3.982 0.000 1.940
0.000 0.000 3.880
1.991 -1.779 2.910
2.203 1.991 0.970
1.991 5.761 -0.970
1.779 1.991 4.850
```



Question: The highest calculated formation energy belongs to which entry?
Answer: number 1



Question: Among the records above, which one has the lowest calculated formation energy?
Answer: SrYAu2



Question: Look up the calculated volume of the eighth one.
Answer: 30.8 A^3/atom



Question: What is the excess energy over the best structure of this formula in the dataset in the sixth record?
Answer: 0.000 eV per atom